# 1
## Pr4GaCBr2 (PBE-GGA)

Data for Pr4GaCBr2 after structural relaxation.

The crystal system is monoclinic. As for the total magnetic moment: 0.00 Bohr magnetons per cell. Its space group is P2/m (10). The volume is 219.7 Å³ per cell. The final energy comes out at -41.42 eV per cell.

a = 7.355 Å, b = 3.930 Å, c = 7.926 Å
α = 90.00°, β = 106.47°, γ = 90.00°
Element x y z (fractional)
Pr1 0.203 0.000 0.186
Pr2 0.230 0.500 0.792
Pr3 0.770 0.500 0.208
Pr4 0.797 0.000 0.814
Ga1 0.500 0.000 0.000
C1 0.000 0.500 0.000
Br1 0.000 0.000 0.500
Br2 0.500 0.500 0.500

# 2
## Rb2GaCBr6 (PBE-GGA)

Data for Rb2GaCBr6 after structural relaxation.

The crystal system is tetragonal. As for the total magnetic moment: 0.00 Bohr magnetons per cell. Its space group is I4/mmm (139). The volume is 285.1 Å³ per cell. The final energy comes out at -28.76 eV per cell.

a = 7.384 Å, b = 7.384 Å, c = 7.384 Å
α = 119.90°, β = 119.90°, γ = 90.18°
Element x y z (fractional)
Rb1 0.250 0.750 0.500
Rb2 0.750 0.250 0.500
Ga1 0.000 0.000 0.000
C1 0.500 0.500 0.000
Br1 0.256 0.256 0.000
Br2 0.257 0.257 0.515
Br3 0.257 0.743 0.000
Br4 0.743 0.257 0.000
Br5 0.743 0.743 0.485
Br6 0.744 0.744 0.000

# 3
## ScGaCBr2 (PBE-GGA)

Data for ScGaCBr2 after structural relaxation.

The crystal system is tetragonal. As for the total magnetic moment: 1.99 Bohr magnetons per cell. Its space group is P4/mmm (123). The volume is 129.6 Å³ per cell. The final energy comes out at -21.48 eV per cell.

a = 5.476 Å, b = 5.476 Å, c = 4.323 Å
α = 90.00°, β = 90.00°, γ = 90.00°
Element x y z (fractional)
Sc1 0.000 0.000 0.000
Ga1 0.500 0.500 0.500
C1 0.000 0.000 0.500
Br1 0.000 0.500 0.000
Br2 0.500 0.000 0.000

# 4
## GaCSeBr2 (PBE-GGA)

Data for GaCSeBr2 after structural relaxation.

The crystal system is tetragonal. As for the total magnetic moment: 0.75 Bohr magnetons per cell. Its space group is P4/mmm (123). The volume is 135.1 Å³ per cell. The final energy comes out at -12.34 eV per cell.

a = 5.099 Å, b = 5.099 Å, c = 5.195 Å
α = 90.00°, β = 90.00°, γ = 90.00°
Element x y z (fractional)
Ga1 0.000 0.000 0.000
C1 0.500 0.500 0.500
Se1 0.000 0.000 0.500
Br1 0.000 0.500 0.000
Br2 0.500 0.000 0.000

# 5
## GaCSeBr2 (PBE-GGA)

Data for GaCSeBr2 after structural relaxation.

The crystal system is tetragonal. As for the total magnetic moment: 0.00 Bohr magnetons per cell. Its space group is P4/mmm (123). The volume is 121.7 Å³ per cell. The final energy comes out at -15.02 eV per cell.

a = 5.527 Å, b = 5.527 Å, c = 3.984 Å
α = 90.00°, β = 90.00°, γ = 90.00°
Element x y z (fractional)
Ga1 0.000 0.000 0.000
C1 0.500 0.500 0.500
Se1 0.500 0.500 0.000
Br1 0.000 0.500 0.500
Br2 0.500 0.000 0.500

# 6
## GaCSe2Br (PBE-GGA)

Data for GaCSe2Br after structural relaxation.

The crystal system is tetragonal. As for the total magnetic moment: 0.00 Bohr magnetons per cell. Its space group is P4/mmm (123). The volume is 143.5 Å³ per cell. The final energy comes out at -16.79 eV per cell.

a = 4.235 Å, b = 4.235 Å, c = 8.003 Å
α = 90.00°, β = 90.00°, γ = 90.00°
Element x y z (fractional)
Ga1 0.000 0.000 0.000
C1 0.500 0.500 0.500
Se1 0.000 0.500 0.500
Se2 0.500 0.000 0.500
Br1 0.500 0.500 0.000